1.
# NiSb4Ir

Crystalline NiSb4Ir at its relaxed geometry (GGA-PBEsol, Alexandria via LeMat-Bulk).

The structure belongs to space group F-43m (No. 216); the cell edges are 8.2481, 8.2481 and 8.2481 Å and the angles 90.00°, 90.00° and 90.00°. Symmetry generates all atoms from Ni at (0.0000, 0.0000, 0.0000), Sb at (0.1250, 0.1250, 0.3750) and Ir at (0.2500, 0.2500, 0.7500).

For the electronic total energy, the calculation gives -4.449 eV/atom. As for the uncorrected formation energy: 1.252 eV per atom.

=====

2.
# NbP2IO

Crystalline NbP2IO at its relaxed geometry (GGA-PBEsol, Alexandria via LeMat-Bulk).

The structure belongs to space group P4/mmm (No. 123); the cell edges are 4.9914, 4.9914 and 3.8963 Å and the angles 90.00°, 90.00° and 90.00°. Symmetry generates all atoms from Nb at (0.0000, 0.0000, 0.0000), P at (0.0000, 0.5000, 0.0000), I at (0.5000, 0.5000, 0.5000) and O at (0.0000, 0.0000, 0.5000).

For the electronic total energy, the calculation gives -6.183 eV/atom. As for the uncorrected formation energy: -0.299 eV per atom.

=====

3.
# RbRh2F2

Crystalline RbRh2F2 at its relaxed geometry (GGA-PBEsol, Alexandria via LeMat-Bulk).

The structure belongs to space group I4/mmm (No. 139); the cell edges are 4.3441, 4.3441 and 9.1390 Å and the angles 90.00°, 90.00° and 90.00°. Symmetry generates all atoms from Rb at (0.0000, 0.0000, 0.0000), Rh at (0.0000, 0.0000, 0.3732) and F at (0.0000, 0.5000, 0.2500).

For the electronic total energy, the calculation gives -4.388 eV/atom. As for the uncorrected formation energy: -0.156 eV per atom.

=====

4.
# AsIrSBr2

Crystalline AsIrSBr2 at its relaxed geometry (GGA-PBEsol, Alexandria via LeMat-Bulk).

The structure belongs to space group P4/mmm (No. 123); the cell edges are 4.7211, 4.7211 and 4.9674 Å and the angles 90.00°, 90.00° and 90.00°. Symmetry generates all atoms from As at (0.0000, 0.0000, 0.0000), Ir at (0.5000, 0.5000, 0.0000), S at (0.0000, 0.0000, 0.5000) and Br at (0.0000, 0.5000, 0.5000).

For the electronic total energy, the calculation gives -3.185 eV/atom. As for the uncorrected formation energy: 1.426 eV per atom.

=====

5.
# SrNbAg2Rh

Crystalline SrNbAg2Rh at its relaxed geometry (GGA-PBEsol, Alexandria via LeMat-Bulk).

The structure belongs to space group P4/mmm (No. 123); the cell edges are 5.1835, 5.1835 and 4.6496 Å and the angles 90.00°, 90.00° and 90.00°. Symmetry generates all atoms from Sr at (0.0000, 0.0000, 0.0000), Nb at (0.5000, 0.5000, 0.5000), Ag at (0.0000, 0.5000, 0.5000) and Rh at (0.5000, 0.5000, 0.0000).

For the electronic total energy, the calculation gives -4.879 eV/atom. Its energy of formation from the pure elements is 606 meV/atom.

=====

6.
# Cs3HgIr

Crystalline Cs3HgIr at its relaxed geometry (GGA-PBEsol, Alexandria via LeMat-Bulk).

The structure belongs to space group Pm-3m (No. 221); the cell edges are 6.0899, 6.0899 and 6.0899 Å and the angles 90.00°, 90.00° and 90.00°. Symmetry generates all atoms from Cs at (0.0000, 0.0000, 0.5000), Hg at (0.5000, 0.5000, 0.5000) and Ir at (0.0000, 0.0000, 0.0000).

For the electronic total energy, the calculation gives -2.061 eV/atom. Its energy of formation from the pure elements is 582 meV/atom.

=====

no.,V (Å³/cell),DOS at the Fermi energy (states/eV/cell)
1,561,26.726
2,97,2.611
3,172,8.041
4,111,5.644
5,125,5.113
6,226,5.017